## BeFeN2F (GGA+U)

Data for a geometry-optimized BeFeN2F structure.

Crystal system: tetragonal
Electronic total energy: -4.845 eV/atom
V: 11.0 A^3/atom

Cell: 3.759 3.759 3.890 Å, 90.00 90.00 90.00°
Space group P4/mmm (No. 123)
Unique sites:
Be1 0.000 0.000 0.000
Fe1 0.500 0.500 0.500
N1 0.000 0.500 0.500
F1 0.500 0.500 0.000